# 1
Tm2Mg2Tl, optimized geometry, DFT PBE-GGA; distance to the lowest polymorph of the same formula = 0.000 eV/atom; calculated total energy = -3.035 eV/atom
1.0
-2.5709 -3.7191 2.4296
1.2315 -0.5410 -4.9513
2.3574 -7.7718 1.4374
Mg Tm Tl
2 2 1
Direct
0.2638 0.1319 0.5525
0.7362 0.8681 0.4475
0.5900 0.2948 0.8075
0.4100 0.7052 0.1925
0.0000 0.5000 0.0000

# 2
TmMgTl, optimized geometry, DFT PBE-GGA; calculated total energy = -2.770 eV/atom
1.0
-2.7251 0.8909 -2.2292
-2.3751 -1.4916 2.3073
1.3635 11.1269 5.7384
Tm Tl Mg
2 2 2
Direct
0.5670 0.5670 0.1341
0.4330 0.4330 0.8659
0.1471 0.1471 0.2942
0.8529 0.8529 0.7058
0.2863 0.2863 0.5726
0.7137 0.7137 0.4274

# 3
Tm6Mg3Tl, optimized geometry, DFT PBE-GGA; calculated total energy = -3.374 eV/atom
1.0
3.4385 0.0000 0.0000
0.0000 12.3251 -0.5721
0.0000 -4.6749 13.4481
Tm Mg Tl
12 6 2
Direct
0.2500 0.0475 0.9097
0.2500 0.7194 0.0947
0.7500 0.1289 0.4837
0.7500 0.8388 0.7193
0.7500 0.6792 0.2860
0.7500 0.2806 0.9053
0.2500 0.4447 0.3065
0.2500 0.8711 0.5163
0.2500 0.3208 0.7140
0.7500 0.5553 0.6935
0.7500 0.9525 0.0903
0.2500 0.1611 0.2807
0.2500 0.7625 0.8866
0.2500 0.3729 0.5034
0.7500 0.2375 0.1134
0.2500 0.4670 0.0930
0.7500 0.6271 0.4966
0.7500 0.5330 0.9070
0.7500 0.0787 0.6936
0.2500 0.9213 0.3064

# 4
Tm5MgTl2, optimized geometry, DFT PBE-GGA; calculated total energy = -3.670 eV/atom
1.0
4.6469 0.0000 0.0000
-2.3235 5.6152 0.0000
0.0000 0.0000 16.9252
Tl Tm Mg
4 10 2
Direct
0.2398 0.4796 0.6493
0.7602 0.5204 0.1493
0.7602 0.5204 0.3507
0.2398 0.4796 0.8507
0.3498 0.6996 0.4617
0.6502 0.3004 0.9617
0.4709 0.9418 0.2500
0.5291 0.0582 0.7500
0.0441 0.0882 0.4017
0.9559 0.9118 0.9017
0.9559 0.9118 0.5983
0.0441 0.0882 0.0983
0.3498 0.6996 0.0383
0.6502 0.3004 0.5383
0.1888 0.3777 0.2500
0.8112 0.6223 0.7500

# 5
Tm5MgTl4, optimized geometry, DFT PBE-GGA; calculated total energy = -3.597 eV/atom
1.0
-0.2370 -1.7788 3.2731
3.7186 0.0826 0.3141
-1.1224 16.5821 8.9305
Tl Tm Mg
4 5 1
Direct
0.0000 0.0000 0.8058
0.0000 0.0000 0.1942
0.0000 0.0000 0.6012
0.0000 0.0000 0.3988
0.5000 0.5000 0.2976
0.5000 0.5000 0.7024
0.5000 0.5000 0.0961
0.5000 0.5000 0.9039
0.5000 0.5000 0.5000
0.0000 0.0000 0.0000

# 6
TmMg7Tl4, optimized geometry, DFT PBE-GGA; calculated total energy = -1.966 eV/atom
1.0
-5.5337 1.2507 -0.7147
-3.8118 -6.7547 -5.1814
-4.1341 -2.4163 4.9060
Mg Tl Tm
7 4 1
Direct
0.5000 0.0000 0.0000
0.2200 0.0938 0.4663
0.9360 0.3490 0.7790
0.7800 0.9062 0.5337
0.3438 0.5640 0.7483
0.0640 0.6510 0.2210
0.6562 0.4360 0.2517
0.7248 0.6772 0.8731
0.2752 0.3228 0.1269
0.5816 0.2279 0.6089
0.4184 0.7721 0.3911
0.0000 0.0000 0.0000

# 7
Tm6MgTl5, optimized geometry, DFT PBE-GGA; distance to the lowest polymorph of the same formula = 0.076 eV/atom; calculated total energy = -3.542 eV/atom
1.0
9.9196 -0.8383 0.0000
1.8552 6.0371 0.0000
0.9276 3.0186 5.4779
Tl Tm Mg
5 6 1
Direct
0.0000 0.3332 0.3335
0.5000 0.1666 0.6668
0.0000 0.6668 0.6665
0.5000 0.5000 0.0000
0.5000 0.8334 0.3332
0.2515 0.5814 0.3349
0.7487 0.7490 0.0000
0.2513 0.2510 0.0000
0.7485 0.4186 0.6651
0.2515 0.9163 0.6651
0.7485 0.0837 0.3349
0.0000 0.0000 0.0000

# 8
Tm6MgTl5, optimized geometry, DFT PBE-GGA; distance to the lowest polymorph of the same formula = 0.000 eV/atom; calculated total energy = -3.618 eV/atom
1.0
-1.2830 -1.8385 4.4960
1.9805 -7.6436 -2.5606
6.7453 5.7612 1.4739
Tl Tm Mg
5 6 1
Direct
0.3474 0.8474 0.6948
0.6700 0.6700 0.3400
0.3300 0.3300 0.6600
0.6526 0.1526 0.3052
0.0000 0.5000 0.0000
0.8315 0.0857 0.6630
0.5000 0.2596 0.0000
0.1685 0.4227 0.3370
0.8315 0.5773 0.6630
0.5000 0.7404 0.0000
0.1685 0.9143 0.3370
0.0000 0.0000 0.0000

# 9
Tm3MgTl4, optimized geometry, DFT PBE-GGA; distance to the lowest polymorph of the same formula = 0.000 eV/atom; calculated total energy = -3.297 eV/atom
1.0
-0.1848 -0.8969 -5.1489
-4.0062 -3.2840 0.7158
-2.7628 7.8318 1.3908
Tm Tl Mg
3 4 1
Direct
0.7445 0.2450 0.4890
0.2555 0.7550 0.5110
0.0000 0.5000 0.0000
0.8779 0.8776 0.7557
0.3779 0.3770 0.7558
0.6221 0.6230 0.2442
0.1221 0.1224 0.2443
0.5000 0.0000 0.0000

# 10
Tm2Mg2Tl7, optimized geometry, DFT PBE-GGA; calculated total energy = -2.635 eV/atom
1.0
3.6276 0.0000 0.0000
1.8138 10.0448 0.3925
1.8138 5.1083 8.6579
Tl Tm Mg
7 2 2
Direct
0.8589 0.4293 0.8528
0.5000 0.0355 0.9645
0.8453 0.0410 0.2683
0.3943 0.6942 0.5173
0.1547 0.7317 0.9590
0.6057 0.4827 0.3058
0.1411 0.1472 0.5707
0.2542 0.3414 0.1502
0.7458 0.8498 0.6586
0.5000 0.3417 0.6583
0.0000 0.7593 0.2407

# 11
Tm4MgTl2, optimized geometry, DFT PBE-GGA; distance to the lowest polymorph of the same formula = 0.000 eV/atom; calculated total energy = -3.589 eV/atom
1.0
4.9687 0.0000 1.5523
2.2419 4.4342 1.5523
-0.0414 -0.0255 8.8606
Tm Tl Mg
4 2 1
Direct
0.8696 0.8696 0.3912
0.6156 0.6156 0.1531
0.1304 0.1304 0.6088
0.3844 0.3844 0.8469
0.7454 0.7454 0.7639
0.2546 0.2546 0.2361
0.0000 0.0000 0.0000

# 12
TmMgTl, optimized geometry, DFT PBE-GGA; calculated total energy = -2.808 eV/atom
1.0
5.0571 1.4471 0.0000
1.2636 5.1060 0.0000
0.0000 0.0000 6.8503
Tl Mg Tm
2 2 2
Direct
0.0893 0.1095 0.2500
0.1095 0.0893 0.7500
0.4318 0.4318 0.0000
0.4318 0.4318 0.5000
0.7751 0.7564 0.7500
0.7564 0.7751 0.2500

Results for formation energy: -0.14; 0.04; 0.02; -0.08; -0.25; 0.13; -0.19; -0.26; -0.24; -0.03; -0.13; 0.00 (in eV/atom, following the order of the records).